[1]
DFT (PBE) results for an optimized crystal structure of B4Os2Pd.

```
B4Os2Pd
1.0
3.9525 0.0000 0.0000
0.0000 3.9525 0.0000
1.9762 1.9762 5.5270
B Os Pd
4 2 1
direct
0.8033 0.8033 0.3934
0.1967 0.1967 0.6066
0.0000 0.5000 0.0000
0.5000 0.0000 0.0000
0.6221 0.6221 0.7557
0.3779 0.3779 0.2443
0.0000 0.0000 0.0000
```

Total magnetization in Bohr magnetons per cell: 0.00
Energy of formation from the pure elements in eV/atom: 1.312
Energy in eV for the cell shown: -45.2
V in Å³/atom: 12.3
Space group: No. 139

---

[2]
DFT (PBE) results for an optimized crystal structure of HfBe17Cr.

```
HfBe17Cr
1.0
5.5206 0.0112 0.6638
0.5901 5.4890 0.6638
0.0124 0.0112 5.5604
Hf Be Cr
1 17 1
direct
0.6608 0.6608 0.6608
0.2927 0.0048 0.7021
0.7021 0.2927 0.0048
0.0048 0.7021 0.2927
0.2927 0.7021 0.0048
0.0048 0.2927 0.7021
0.7021 0.0048 0.2927
0.3444 0.8496 0.3444
0.3444 0.3444 0.8496
0.8496 0.3444 0.3444
0.6504 0.1646 0.6504
0.6504 0.6504 0.1646
0.1646 0.6504 0.6504
0.9957 0.5035 0.9957
0.9957 0.9957 0.5035
0.5035 0.9957 0.9957
0.9044 0.9044 0.9044
0.1018 0.1018 0.1018
0.3352 0.3352 0.3352
```

Total magnetization in Bohr magnetons per cell: 2.13
Energy of formation from the pure elements in eV/atom: -0.137
Energy in eV for the cell shown: -85.5
V in Å³/atom: 8.9
Space group: No. 160

---

[3]
DFT (PBE) results for an optimized crystal structure of Tc2As2Rh.

```
Tc2As2Rh
1.0
-4.1043 4.8951 -3.1052
-3.3240 1.1297 6.1745
1.9820 2.0954 0.6836
As Rh Tc
4 2 4
direct
0.3465 0.8465 0.0000
0.8465 0.6535 0.0000
0.6535 0.1535 0.0000
0.1535 0.3465 0.0000
0.0000 0.0000 0.0000
0.5000 0.5000 0.0000
0.1471 0.6471 0.5000
0.6471 0.8529 0.5000
0.8529 0.3529 0.5000
0.3529 0.1471 0.5000
```

Total magnetization in Bohr magnetons per cell: 0.00
Energy of formation from the pure elements in eV/atom: 0.038
Energy in eV for the cell shown: -74.4
V in Å³/atom: 15.0
Space group: No. 127

---

[4]
DFT (PBE) results for an optimized crystal structure of Dy3Al2Si3.

```
Dy3Al2Si3
1.0
-2.2700 -2.2208 -2.6764
-1.5862 -1.0583 5.4458
-9.8450 10.9537 -0.7389
Dy Al Si
6 4 6
direct
0.8766 0.7531 0.3992
0.1234 0.2469 0.8992
0.8766 0.7531 0.1008
0.1234 0.2469 0.6008
0.5827 0.1654 0.2500
0.4173 0.8346 0.7500
0.8378 0.6755 0.8822
0.1622 0.3245 0.3822
0.8378 0.6755 0.6178
0.1622 0.3245 0.1178
0.5849 0.1698 0.4491
0.4151 0.8302 0.9491
0.5849 0.1698 0.0509
0.4151 0.8302 0.5509
0.3081 0.6162 0.2500
0.6919 0.3838 0.7500
```

Total magnetization in Bohr magnetons per cell: 0.00
Energy relative to the elements, uncorrected in eV per atom: -0.58
Energy in eV for the cell shown: -84.5
V in Å³/atom: 20.6
Space group: No. 63

---

[5]
DFT (PBE) results for an optimized crystal structure of Pr6Cu2O.

```
Pr6Cu2O
1.0
6.6224 0.0000 0.1894
0.0000 7.2089 0.0000
-0.5501 0.0000 10.1530
Pr Cu O
12 4 2
direct
0.8599 0.9704 0.2577
0.8315 0.6973 0.5625
0.8172 0.6864 0.9418
0.6828 0.1864 0.5582
0.6685 0.1973 0.9375
0.6401 0.4704 0.2423
0.1401 0.0296 0.7423
0.1685 0.3027 0.4375
0.1828 0.3136 0.0582
0.3172 0.8136 0.4418
0.3315 0.8027 0.0625
0.3599 0.5296 0.7577
0.9343 0.4006 0.7539
0.5657 0.9006 0.7461
0.4343 0.0994 0.2539
0.0657 0.5994 0.2461
0.5000 0.5000 0.0000
0.0000 0.0000 0.5000
```

Total magnetization in Bohr magnetons per cell: 0.00
Energy relative to the elements, uncorrected in eV per atom: -0.65
Energy in eV for the cell shown: -95.3
V in Å³/atom: 27.0
Space group: No. 14

---

[6]
DFT (PBE) results for an optimized crystal structure of CaPSe.

```
CaPSe
1.0
-6.0086 6.4693 4.3402
-2.9780 -3.2007 0.6480
3.8944 -2.5178 5.4612
Ca P Se
4 4 4
direct
0.5923 0.0000 0.3781
0.5923 0.5000 0.8781
0.9657 0.0000 0.5014
0.9657 0.5000 0.0014
0.3589 0.0000 0.9284
0.3589 0.5000 0.4284
0.4062 0.0000 0.6549
0.4062 0.5000 0.1549
0.1215 0.0000 0.8973
0.1215 0.5000 0.3973
0.7763 0.0000 0.1017
0.7763 0.5000 0.6017
```

Total magnetization in Bohr magnetons per cell: 0.00
Energy relative to the elements, uncorrected in eV per atom: -1.01
Energy in eV for the cell shown: -55.7
V in Å³/atom: 25.3
Space group: No. 8

---

[7]
DFT (PBE) results for an optimized crystal structure of SmSnRh.

```
SmSnRh
1.0
-2.5416 3.1199 -0.3859
-1.6394 -2.2025 -7.0091
-4.0470 -2.5796 5.7995
Rh Sn Sm
3 3 3
direct
0.5000 0.6667 0.3333
0.5000 0.3333 0.6667
0.0000 0.0000 0.0000
0.5000 0.2545 0.0000
0.5000 0.0000 0.2545
0.5000 0.7455 0.7455
0.0000 0.0000 0.5892
0.0000 0.5892 0.0000
0.0000 0.4108 0.4108
```

Total magnetization in Bohr magnetons per cell: 0.00
Energy of formation from the pure elements in eV/atom: -0.876
Energy in eV for the cell shown: -56.1
V in Å³/atom: 22.0
Space group: No. 189

---

[8]
DFT (PBE) results for an optimized crystal structure of Os2RhSe.

```
Os2RhSe
1.0
-2.2226 -0.3263 -1.7461
-0.9511 -3.1480 1.7989
-3.2844 3.0551 3.6097
Os Rh Se
2 1 1
direct
0.0000 0.0000 0.0401
0.5000 0.5000 0.2434
0.0000 0.0000 0.5165
0.5000 0.5000 0.7001
```

Total magnetization in Bohr magnetons per cell: 0.00
Energy relative to the elements, uncorrected in eV per atom: 0.42
Energy in eV for the cell shown: -31.6
V in Å³/atom: 15.4
Space group: No. 25

---

[9]
DFT (PBE) results for an optimized crystal structure of TaNb5Ru2.

```
TaNb5Ru2
1.0
-3.3933 2.6353 3.6109
0.5958 -5.3578 1.5610
5.0193 2.5107 -0.0225
Ta Nb Ru
1 5 2
direct
0.7779 0.7779 0.0000
0.2779 0.2779 0.5000
0.2779 0.7779 0.0000
0.7779 0.2779 0.0000
0.7779 0.7779 0.5000
0.2779 0.2779 0.0000
0.2778 0.7778 0.5000
0.7778 0.2779 0.5000
```

Total magnetization in Bohr magnetons per cell: 0.00
Energy of formation from the pure elements in eV/atom: -0.219
Energy in eV for the cell shown: -82.5
V in Å³/atom: 17.0
E above lowest polymorph in meV per atom: 0
Space group: No. 139

---

[10]
DFT (PBE) results for an optimized crystal structure of Na2TaPtO6.

```
Na2TaPtO6
1.0
-2.5579 -1.5499 2.6756
0.1775 -4.8802 -2.6571
4.2801 -1.5753 3.1793
Na Ta Pt O
2 1 1 6
direct
0.1439 0.5000 0.0000
0.1439 0.0000 0.5000
0.6446 0.5000 0.5000
0.6449 0.0000 0.0000
0.6449 0.2505 0.2505
0.6449 0.2505 0.7495
0.1448 0.5000 0.5000
0.1449 0.0000 0.0000
0.6449 0.7495 0.7495
0.6449 0.7495 0.2505
```

Total magnetization in Bohr magnetons per cell: 0.66
Energy relative to the elements, uncorrected in eV per atom: -1.62
Energy in eV for the cell shown: -66.5
V in Å³/atom: 12.4
Space group: No. 123

---

[11]
DFT (PBE) results for an optimized crystal structure of Y3SO.

```
Y3SO
1.0
-2.8760 -3.2785 1.7193
3.5854 -3.0089 0.2599
0.9218 1.4744 4.3534
Y S O
3 1 1
direct
0.0000 0.5000 0.0000
0.0000 0.0000 0.5000
0.5000 0.0000 0.0000
0.5000 0.5000 0.5000
0.0000 0.0000 0.0000
```

Total magnetization in Bohr magnetons per cell: 0.00
Energy relative to the elements, uncorrected in eV per atom: -1.20
Energy in eV for the cell shown: -34.5
V in Å³/atom: 20.6
E above lowest polymorph in meV per atom: 0
Space group: No. 221